Below is an optimized crystal structure of NaCrAs2O8, with properties calculated at the PBE with a Hubbard U level.

DFT total energy   -6.0075 eV per atom

Structure (CIF):
```
data_NaCrAs2O8
_space_group_name_H-M_alt 'P -3'
_space_group_IT_number 147
_cell_length_a 5.0545
_cell_length_b 5.0545
_cell_length_c 7.2032
_cell_angle_alpha 90.00
_cell_angle_beta 90.00
_cell_angle_gamma 120.00
loop_
_space_group_symop_operation_xyz
'x,y,z'
'-x,-y,-z'
'-y,x-y,z'
'y,-x+y,-z'
'-x+y,-x,z'
'x-y,x,-z'
loop_
_atom_site_label
_atom_site_type_symbol
_atom_site_fract_x
_atom_site_fract_y
_atom_site_fract_z
Na1 Na 0.0000 0.0000 0.0000
Cr1 Cr 0.0000 0.0000 0.5000
As1 As 0.3333 0.6667 0.2722
O1 O 0.0301 0.7113 0.3395
O2 O 0.3333 0.6667 0.0331
```